Record 1
The following is a PBE calculation of a relaxed structure of K2SrBr, from Alexandria.

```
4
Lattice="4.189 0.000 0.000 0.000 2.187 11.387 0.000 -2.187 11.387" Properties=species:S:1:pos:R:3 pbc="T T T"
K 0.000 0.000 0.000
K 2.095 0.000 7.571
Sr 0.000 0.000 15.576
Br 2.095 0.000 13.063
```

Computed properties:
**Energy above the lowest structure with this stoichiometry**: 0.067 eV per atom
**Crystal system**: orthorhombic
**ρ**: 1955 kg/m³
**Formation energy from raw total energies**: -0.7110 eV/atom

---

Record 2
The following is a PBE calculation of a relaxed structure of BeRe2Au, from Alexandria.

```
4
Lattice="-1.849 1.849 4.241 1.849 -1.849 4.241 1.849 1.849 -4.241" Properties=species:S:1:pos:R:3 pbc="T T T"
Be 0.000 0.000 0.000
Re 1.849 0.000 2.120
Re 0.000 1.849 2.120
Au 0.000 0.000 4.241
```

Computed properties:
**Crystal system**: tetragonal
**ρ**: 16560 kg/m³
**ΔE_f**: 187 kJ/mol of formula units

---

Record 3
The following is a PBE calculation of a relaxed structure of LiTaMnCo2, from Alexandria.

```
5
Lattice="3.786 0.000 0.000 0.000 3.786 0.000 0.000 0.000 4.293" Properties=species:S:1:pos:R:3 pbc="T T T"
Li 0.000 0.000 0.000
Ta 0.000 0.000 2.147
Mn 1.893 1.893 2.147
Co 0.000 1.893 0.000
Co 1.893 0.000 0.000
```

Computed properties:
**Crystal system**: tetragonal
**ρ**: 9733 kg/m³
**ΔE_f**: 516 kJ/mol of formula units

---

Record 4
The following is a PBE calculation of a relaxed structure of BaAlAg, from Alexandria.

```
6
Lattice="4.482 0.000 0.000 2.233 6.098 0.000 2.211 1.963 6.478" Properties=species:S:1:pos:R:3 pbc="T T T"
Ba 1.117 1.256 1.329
Ba 7.809 6.805 5.149
Al 3.335 3.375 3.896
Al 5.592 4.686 2.582
Ag 3.354 3.865 1.268
Ag 5.572 4.196 5.210
```

Computed properties:
**Crystal system**: triclinic
**ρ**: 5105 kg/m³
**ΔE_f**: -62 kJ/mol of formula units

---

Record 5
The following is a PBE calculation of a relaxed structure of Nd5As, from Alexandria.

```
6
Lattice="2.376 -7.759 0.000 2.376 7.759 0.000 0.000 0.000 4.915" Properties=species:S:1:pos:R:3 pbc="T T T"
Nd 0.000 0.000 0.000
Nd 2.376 5.400 2.457
Nd 2.376 2.461 0.000
Nd 2.376 -2.461 0.000
Nd 2.376 -5.400 2.457
As 2.376 0.000 2.457
```

Computed properties:
**Crystal system**: orthorhombic
**ρ**: 7294 kg/m³
**ΔE_f**: -153 kJ/mol of formula units

---

Record 6
The following is a PBE calculation of a relaxed structure of Na6CuAs2, from Alexandria.

```
9
Lattice="2.566 1.482 9.488 -2.566 1.482 9.488 0.000 -2.963 9.488" Properties=species:S:1:pos:R:3 pbc="T T T"
Na 0.000 0.000 2.191
Na 0.000 0.000 5.699
Na 0.000 0.000 8.840
Na 0.000 0.000 19.624
Na 0.000 0.000 22.765
Na 0.000 0.000 26.274
Cu 0.000 0.000 14.232
As 0.000 0.000 11.871
As 0.000 0.000 16.593
```

Computed properties:
**Crystal system**: trigonal
**ρ**: 2695 kg/m³
**ΔE_f**: -250 kJ/mol of formula units

---

- What is the formula in the sixth record?
  Na6CuAs2

---

- Which of these has the lowest ρ?
  K2SrBr

---

Copy entry 4 word for word.
The following is a PBE calculation of a relaxed structure of BaAlAg, from Alexandria.

```
6
Lattice="4.482 0.000 0.000 2.233 6.098 0.000 2.211 1.963 6.478" Properties=species:S:1:pos:R:3 pbc="T T T"
Ba 1.117 1.256 1.329
Ba 7.809 6.805 5.149
Al 3.335 3.375 3.896
Al 5.592 4.686 2.582
Ag 3.354 3.865 1.268
Ag 5.572 4.196 5.210
```

Computed properties:
**Crystal system**: triclinic
**ρ**: 5105 kg/m³
**ΔE_f**: -62 kJ/mol of formula units